VASP calculation (PBE) on a relaxed SrU2S5 crystal.

Cell: 8.2520 7.4279 11.6643 Å, 90.00 90.30 90.00°
Closest atoms and distances in Å follow each position.
Sites, in units of the cell vectors:
1 Sr 0.0081 0.0465 0.3295  8 S 2.99-3.27
2 Sr 0.0081 0.4535 0.8295  8 S 2.99-3.27
3 Sr 0.9919 0.5465 0.1705  8 S 2.99-3.27
4 Sr 0.9919 0.9535 0.6705  8 S 2.99-3.27
5 U 0.2540 0.5707 0.4917  7 S 2.67-2.85
6 U 0.2540 0.9293 0.9917  7 S 2.67-2.85
7 U 0.4996 0.0194 0.3190  8 S 2.75-2.98
8 U 0.4996 0.4806 0.8190  8 S 2.75-2.98
9 U 0.5004 0.5194 0.1810  8 S 2.75-2.98
10 U 0.5004 0.9806 0.6810  8 S 2.75-2.98
11 U 0.7460 0.0707 0.0083  7 S 2.67-2.85
12 U 0.7460 0.4293 0.5083  7 S 2.67-2.85
13 S 0.0393 0.1752 0.0784  2 U 2.67-2.74
14 S 0.0393 0.3248 0.5784  2 U 2.67-2.74
15 S 0.2667 0.6922 0.7159  3 U 2.75-2.91, 2 Sr 3.03-3.08
16 S 0.2667 0.8078 0.2159  3 U 2.75-2.91, 2 Sr 3.03-3.08
17 S 0.2768 0.1643 0.8122  3 U 2.73-2.98
18 S 0.2768 0.3357 0.3122  3 U 2.73-2.98
19 S 0.2850 0.5471 0.9984  3 U 2.77-2.85, 1 Sr 3.09
20 S 0.2850 0.9529 0.4984  3 U 2.77-2.85, 1 Sr 3.09
21 S 0.4553 0.1626 0.0983  4 U 2.70-2.84
22 S 0.4553 0.3374 0.5983  4 U 2.70-2.84
23 S 0.5447 0.6626 0.4017  4 U 2.70-2.84
24 S 0.5447 0.8374 0.9017  4 U 2.70-2.84
25 S 0.7150 0.0471 0.5016  3 U 2.77-2.85, 1 Sr 3.09
26 S 0.7150 0.4529 0.0016  3 U 2.77-2.85, 1 Sr 3.09
27 S 0.7232 0.6643 0.6878  3 U 2.73-2.98
28 S 0.7232 0.8357 0.1878  3 U 2.73-2.98
29 S 0.7333 0.1922 0.7841  3 U 2.75-2.91, 2 Sr 3.03-3.08
30 S 0.7333 0.3078 0.2841  3 U 2.75-2.91, 2 Sr 3.03-3.08
31 S 0.9607 0.6752 0.4216  2 U 2.67-2.74
32 S 0.9607 0.8248 0.9216  2 U 2.67-2.74

## Properties
SG	P2_1/c, No. 14
raw total energy	-7.216	eV per atom
density of states at the Fermi level	1.7091	states/eV per atom
energy relative to the elements, uncorrected	-1.604	eV/atom
M_tot	16.00	μB per cell



VASP calculation (PBE) on a relaxed SnIrOs2 crystal.

Cell: 7.0739 7.0739 7.0739 Å, 131.68 131.68 70.74°
Closest atoms and distances in Å follow each position.
Sites, in units of the cell vectors:
1 Sn 0.0000 0.0000 0.0000  4 Os 2.64
2 Sn 0.7500 0.2500 0.5000  4 Os 2.64
3 Ir 0.2500 0.7500 0.5000  4 Os 2.38
4 Ir 0.5000 0.5000 0.0000  4 Os 2.38
5 Os 0.1632 0.6250 0.0382  2 Ir 2.38, 2 Sn 2.64
6 Os 0.3750 0.4132 0.5382  2 Ir 2.38, 2 Sn 2.64
7 Os 0.5868 0.1250 0.9618  2 Ir 2.38, 2 Sn 2.64
8 Os 0.8750 0.8368 0.4618  2 Ir 2.38, 2 Sn 2.64

## Properties
SG	I-42d, No. 122
raw total energy	-7.635	eV per atom
formation energy	1.20	eV/atom
density of states at the Fermi level	0.8743	states/eV per atom
M_tot	0.00	μB per cell



VASP calculation (PBE) on a relaxed NaLiPa crystal.

Cell: 3.1731 3.1801 17.3844 Å, 89.26 85.40 60.30°
Closest atoms and distances in Å follow each position.
Sites, in units of the cell vectors:
1 Na 0.0766 0.2074 0.0941  6 Na 3.17-3.19, 3 Li 3.36-3.45
2 Na 0.9234 0.7926 0.9059  6 Na 3.17-3.19, 3 Li 3.36-3.45
3 Li 0.2854 0.5973 0.2586  6 Li 3.17-3.19, 3 Pa 3.28-3.50, 3 Na 3.36-3.45
4 Li 0.7146 0.4027 0.7414  6 Li 3.17-3.19, 3 Pa 3.28-3.50, 3 Na 3.36-3.45
5 Pa 0.1879 0.7504 0.5797  8 Pa 3.17-3.20, 3 Li 3.28-3.50
6 Pa 0.8121 0.2496 0.4203  8 Pa 3.17-3.20, 3 Li 3.28-3.50

## Properties
SG	P-1, No. 2
raw total energy	-4.088	eV per atom
formation energy	0.15	eV/atom
density of states at the Fermi level	1.1170	states/eV per atom
M_tot	0.00	μB per cell



VASP calculation (PBE) on a relaxed TlCr4Pb crystal.

Cell: 5.0994 5.0994 5.0994 Å, 60.00 60.00 60.00°
Closest atoms and distances in Å follow each position.
Sites, in units of the cell vectors:
1 Tl 0.0000 0.0000 0.0000  12 Cr 2.99, 4 Pb 3.12
2 Cr 0.1193 0.6269 0.6269  6 Cr 2.51-2.59
3 Cr 0.6269 0.1193 0.6269  6 Cr 2.51-2.59
4 Cr 0.6269 0.6269 0.1193  6 Cr 2.51-2.59
5 Cr 0.6269 0.6269 0.6269  6 Cr 2.51-2.59
6 Pb 0.2500 0.2500 0.2500  12 Cr 2.99, 4 Tl 3.12

## Properties
SG	F-43m, No. 216
raw total energy	-6.670	eV per atom
formation energy	0.76	eV/atom
density of states at the Fermi level	1.1442	states/eV per atom
M_tot	0.00	μB per cell



VASP calculation (PBE) on a relaxed UPdS4 crystal.

Cell: 5.6675 3.9034 6.5459 Å, 90.00 96.99 90.00°
Closest atoms and distances in Å follow each position.
Sites, in units of the cell vectors:
1 U 0.0000 0.0000 0.0000  6 S 2.52-2.60
2 Pd 0.5000 0.5000 0.0000  6 S 2.53-2.54
3 S 0.1751 0.5000 0.2329  1 Pd 2.53, 2 U 2.60
4 S 0.3347 0.0000 0.7798  1 U 2.52, 2 Pd 2.54
5 S 0.6653 0.0000 0.2202  1 U 2.52, 2 Pd 2.54
6 S 0.8249 0.5000 0.7671  1 Pd 2.53, 2 U 2.60

## Properties
SG	P2/m, No. 10
raw total energy	-6.304	eV per atom
density of states at the Fermi level	0.6268	states/eV per atom
energy relative to the elements, uncorrected	-0.806	eV/atom
M_tot	0.22	μB per cell



VASP calculation (PBE) on a relaxed CdCu2Au8 crystal.

Cell: 7.5596 7.5596 6.6849 Å, 107.99 107.99 31.81°
Closest atoms and distances in Å follow each position.
Sites, in units of the cell vectors:
1 Cd 0.0000 0.0000 0.0000  12 Au 2.86-2.99
2 Cu 0.2751 0.2751 0.3590  10 Au 2.73-2.99, 2 Cu 3.04
3 Cu 0.7249 0.7249 0.6410  10 Au 2.73-2.99, 2 Cu 3.04
4 Au 0.1035 0.1035 0.4656  3 Cu 2.73-2.81, 7 Au 2.88-2.99, 1 Cd 2.99
5 Au 0.1823 0.1823 0.9218  3 Cu 2.80-2.99, 8 Au 2.82-2.98, 1 Cd 2.86
6 Au 0.3523 0.3523 0.7892  3 Cu 2.73-2.74, 6 Au 2.88-3.00, 2 Cd 2.99
7 Au 0.4530 0.4530 0.2751  1 Cu 2.82, 9 Au 2.87-3.10, 2 Cd 2.99
8 Au 0.5470 0.5470 0.7249  1 Cu 2.82, 9 Au 2.87-3.10, 2 Cd 2.99
9 Au 0.6477 0.6477 0.2108  3 Cu 2.73-2.74, 6 Au 2.88-3.00, 2 Cd 2.99
10 Au 0.8177 0.8177 0.0782  3 Cu 2.80-2.99, 8 Au 2.82-2.98, 1 Cd 2.86
11 Au 0.8965 0.8965 0.5344  3 Cu 2.73-2.81, 7 Au 2.88-2.99, 1 Cd 2.99

## Properties
SG	C2/m, No. 12
raw total energy	-3.264	eV per atom
formation energy	-0.05	eV/atom
density of states at the Fermi level	0.2869	states/eV per atom
M_tot	0.00	μB per cell



VASP calculation (PBE) on a relaxed BaTcOs crystal.

Cell: 6.4268 6.4268 6.4268 Å, 152.12 144.67 45.60°
Closest atoms and distances in Å follow each position.
Sites, in units of the cell vectors:
1 Ba 0.0000 0.0000 0.0000  2 Ba 3.10, 1 Tc 3.20, 1 Os 3.25
2 Tc 0.7297 0.7297 0.0000  4 Os 2.55
3 Os 0.2742 0.2742 0.0000  4 Tc 2.55

## Properties
SG	Imm2, No. 44
raw total energy	-7.171	eV per atom
formation energy	0.67	eV/atom
density of states at the Fermi level	0.7690	states/eV per atom
M_tot	0.00	μB per cell



VASP calculation (PBE) on a relaxed BaZrOs2 crystal.

Cell: 3.0825 4.3603 7.0809 Å, 90.00 100.36 90.00°
Closest atoms and distances in Å follow each position.
Sites, in units of the cell vectors:
1 Ba 0.0000 0.0000 0.0000  2 Ba 3.08, 4 Os 3.43
2 Zr 0.5000 0.0000 0.5000  4 Os 2.64
3 Os 0.2615 0.5000 0.6640  1 Os 2.58, 2 Zr 2.64
4 Os 0.7385 0.5000 0.3360  1 Os 2.58, 2 Zr 2.64

## Properties
SG	P2/m, No. 10
raw total energy	-7.687	eV per atom
formation energy	0.55	eV/atom
density of states at the Fermi level	1.1003	states/eV per atom
M_tot	0.00	μB per cell



VASP calculation (PBE) on a relaxed Pm2Al9Pt3 crystal.

Cell: 7.6905 7.6905 10.5426 Å, 111.35 111.35 59.88°
Closest atoms and distances in Å follow each position.
Sites, in units of the cell vectors:
1 Pm 0.0844 0.2533 0.2499  11 Al 3.06-3.20
2 Pm 0.2533 0.0844 0.7499  11 Al 3.06-3.20
3 Pm 0.7467 0.9156 0.2501  11 Al 3.06-3.20
4 Pm 0.9156 0.7467 0.7501  11 Al 3.06-3.20
5 Al 0.0246 0.8561 0.0720  3 Pt 2.62-2.65, 5 Al 2.81-2.92
6 Al 0.1439 0.9754 0.4280  3 Pt 2.62-2.65, 5 Al 2.81-2.92
7 Al 0.1920 0.3571 0.5701  3 Pt 2.63-2.65, 5 Al 2.81-2.91
8 Al 0.2133 0.5817 0.2512  2 Pt 2.59-2.60, 6 Al 2.74-2.88
9 Al 0.3142 0.4818 0.9430  3 Pt 2.62-2.66, 5 Al 2.78-2.90
10 Al 0.3571 0.1920 0.0701  3 Pt 2.63-2.65, 5 Al 2.81-2.91
11 Al 0.3755 0.6245 0.7500  2 Pt 2.60, 6 Al 2.74-2.90
12 Al 0.4183 0.7867 0.2488  2 Pt 2.59-2.60, 6 Al 2.74-2.88
13 Al 0.4818 0.3142 0.4430  3 Pt 2.62-2.66, 5 Al 2.78-2.90
14 Al 0.5182 0.6858 0.5570  3 Pt 2.62-2.66, 5 Al 2.78-2.90
15 Al 0.5817 0.2133 0.7512  2 Pt 2.59-2.60, 6 Al 2.74-2.88
16 Al 0.6245 0.3755 0.2500  2 Pt 2.60, 6 Al 2.74-2.90
17 Al 0.6429 0.8080 0.9299  3 Pt 2.63-2.65, 5 Al 2.81-2.91
18 Al 0.6858 0.5182 0.0570  3 Pt 2.62-2.66, 5 Al 2.78-2.90
19 Al 0.7867 0.4183 0.7488  2 Pt 2.59-2.60, 6 Al 2.74-2.88
20 Al 0.8080 0.6429 0.4299  3 Pt 2.63-2.65, 5 Al 2.81-2.91
21 Al 0.8561 0.0246 0.5720  3 Pt 2.62-2.65, 5 Al 2.81-2.92
22 Al 0.9754 0.1439 0.9280  3 Pt 2.62-2.65, 5 Al 2.81-2.92
23 Pt 0.0000 0.5000 0.0000  8 Al 2.60-2.65
24 Pt 0.1598 0.6707 0.4998  8 Al 2.59-2.66
25 Pt 0.3293 0.8402 0.0002  8 Al 2.59-2.66
26 Pt 0.5000 0.0000 0.5000  8 Al 2.60-2.65
27 Pt 0.6707 0.1598 0.9998  8 Al 2.59-2.66
28 Pt 0.8402 0.3293 0.5002  8 Al 2.59-2.66

## Properties
SG	C2/c, No. 15
raw total energy	-5.233	eV per atom
formation energy	-0.85	eV/atom
density of states at the Fermi level	0.3981	states/eV per atom
M_tot	0.00	μB per cell



VASP calculation (PBE) on a relaxed FeReIr3 crystal.

Cell: 2.7068 8.6977 6.9702 Å, 90.00 101.18 90.00°
Closest atoms and distances in Å follow each position.
Sites, in units of the cell vectors:
1 Fe 0.0520 0.2500 0.1057  4 Ir 2.47-2.66, 2 Re 2.64, 2 Fe 2.71
2 Fe 0.9480 0.7500 0.8943  4 Ir 2.47-2.66, 2 Re 2.64, 2 Fe 2.71
3 Re 0.2813 0.7500 0.5626  2 Fe 2.64, 8 Ir 2.66-2.84, 2 Re 2.71
4 Re 0.7187 0.2500 0.4374  2 Fe 2.64, 8 Ir 2.66-2.84, 2 Re 2.71
5 Ir 0.1657 0.0004 0.3311  3 Re 2.66-2.69, 1 Fe 2.66, 6 Ir 2.68-2.72
6 Ir 0.1657 0.4996 0.3311  3 Re 2.66-2.69, 1 Fe 2.66, 6 Ir 2.68-2.72
7 Ir 0.4011 0.2500 0.8028  2 Fe 2.47, 6 Ir 2.71-2.72
8 Ir 0.5989 0.7500 0.1972  2 Fe 2.47, 6 Ir 2.71-2.72
9 Ir 0.8343 0.9996 0.6689  3 Re 2.66-2.69, 1 Fe 2.66, 6 Ir 2.68-2.72
10 Ir 0.8343 0.5004 0.6689  3 Re 2.66-2.69, 1 Fe 2.66, 6 Ir 2.68-2.72

## Properties
SG	P2_1/m, No. 11
raw total energy	-9.169	eV per atom
formation energy	0.33	eV/atom
density of states at the Fermi level	1.1080	states/eV per atom
M_tot	4.74	μB per cell